Record 1
Here is a relaxed Tb3Ce4ThS8 crystal from Alexandria via LeMat-Bulk. Energies are from PBE.

The structure in POSCAR format:
```
Tb3Ce4ThS8
1.0
3.987 2.302 6.526
-3.987 2.302 6.526
0.000 -4.604 6.526
Tb Ce Th S
3 4 1 8
direct
0.000 0.500 0.500 Tb
0.500 0.000 0.500 Tb
0.500 0.500 0.000 Tb
0.000 0.000 0.500 Ce
0.000 0.500 0.000 Ce
0.500 0.000 0.000 Ce
0.500 0.500 0.500 Ce
0.000 0.000 0.000 Th
0.251 0.251 0.742 S
0.251 0.742 0.251 S
0.253 0.253 0.253 S
0.258 0.749 0.749 S
0.742 0.251 0.251 S
0.747 0.747 0.747 S
0.749 0.258 0.749 S
0.749 0.749 0.258 S
```



Record 2
Here is a relaxed Tb3Ce2ThS6 crystal from Alexandria via LeMat-Bulk. Energies are from PBE.

The structure in POSCAR format:
```
Tb3Ce2ThS6
1.0
8.718 -1.979 0.000
8.718 1.979 0.000
-2.010 0.000 7.748
Tb Ce Th S
3 2 1 6
direct
0.000 0.000 0.000 Tb
0.334 0.334 0.667 Tb
0.666 0.666 0.333 Tb
0.334 0.334 0.168 Ce
0.666 0.666 0.832 Ce
0.000 0.000 0.500 Th
0.165 0.165 0.088 S
0.170 0.170 0.577 S
0.497 0.497 0.757 S
0.503 0.503 0.243 S
0.830 0.830 0.423 S
0.835 0.835 0.912 S
```



| no. | theoretical density (g/cm3) | DOS at the Fermi energy (states/eV per atom) | formation energy (no corrections) (eV/atom) |
| --- | --- | --- | --- |
| 1 | 7.05 | 1.318 | -2.0125 |
| 2 | 7.34 | 1.072 | -1.9940 |